TeMo2SF | PBE with a Hubbard U | optimized geometry

Properties
Calculated density = 5.6 g/cm³
E = -4.60 eV/atom

abc: 5.063 5.063 4.287
angles: 90.00 90.00 90.00
Space group P4/mmm (No. 123)
Asymmetric unit:
Te (0.000, 0.000, 0.000) (multiplicity 1)
Mo (0.000, 0.500, 0.500) (multiplicity 2)
S (0.500, 0.500, 0.500) (multiplicity 1)
F (0.500, 0.500, 0.000) (multiplicity 1)